# ZrCo2Pd | Alexandria | PBE | optimized geometry
data_ZrCo2Pd
_chemical_formula_sum 'Zr4 Co8 Pd4'
_space_group_name_H-M_alt 'I -4 2 d'
_space_group_IT_number 122
_space_group_name_Hall 'I -4 2bw'
_cell_length_a 3.797
_cell_length_b 3.797
_cell_length_c 17.887
_cell_angle_alpha 90.00
_cell_angle_beta 90.00
_cell_angle_gamma 90.00
loop_
_atom_site_label
_atom_site_type_symbol
_atom_site_fract_x
_atom_site_fract_y
_atom_site_fract_z
Zr1 Zr 0.000 0.000 0.000
Co1 Co 0.193 0.250 0.625
Pd1 Pd 0.000 0.000 0.500
# electronic total energy = -6.814 eV per atom
# total magnetic moment = 0.54 μB/atom
# DOS(E_F) = 1.08 states/eV/atom
# ΔE_f = 0.175 eV/atom

***

# LaTbTh2 | Alexandria | PBE | optimized geometry
data_LaTbTh2
_chemical_formula_sum 'La1 Tb1 Th2'
_space_group_name_H-M_alt 'P 4/m m m'
_space_group_IT_number 123
_space_group_name_Hall '-P 4 2'
_cell_length_a 4.250
_cell_length_b 4.250
_cell_length_c 7.326
_cell_angle_alpha 90.00
_cell_angle_beta 90.00
_cell_angle_gamma 90.00
loop_
_atom_site_label
_atom_site_type_symbol
_atom_site_fract_x
_atom_site_fract_y
_atom_site_fract_z
La1 La 0.000 0.000 0.000
Tb1 Tb 0.000 0.000 0.500
Th1 Th 0.500 0.500 0.265
# electronic total energy = -5.935 eV per atom
# total magnetic moment = 0.00 μB/atom
# DOS(E_F) = 1.63 states/eV/atom
# ΔE_f = 0.164 eV/atom

***

# Sr2AcEr | Alexandria | PBE | optimized geometry
data_Sr2AcEr
_chemical_formula_sum 'Sr6 Ac3 Er3'
_space_group_name_H-M_alt 'R -3 m'
_space_group_IT_number 166
_space_group_name_Hall '-R 3 2"'
_cell_length_a 3.8381
_cell_length_b 3.8381
_cell_length_c 41.7106
_cell_angle_alpha 90.00
_cell_angle_beta 90.00
_cell_angle_gamma 120.00
loop_
_atom_site_label
_atom_site_type_symbol
_atom_site_fract_x
_atom_site_fract_y
_atom_site_fract_z
Sr1 Sr 0.0000 0.0000 0.0847
Ac1 Ac 0.0000 0.0000 0.5000
Er1 Er 0.0000 0.0000 0.0000
# electronic total energy = -2.678 eV per atom
# total magnetic moment = 0.15 μB/atom
# DOS(E_F) = 1.38 states/eV/atom
# ΔE_f = 0.330 eV/atom